[1]
Material: RbTmMnSe4
Method: DFT, PBE
State: relaxed

a = 6.6585 Å, b = 6.6774 Å, c = 9.5633 Å
α = 90.00°, β = 109.07°, γ = 90.00°
Closest atoms and distances in Å follow each position.
Element x y z (fractional)
Rb  0.7460  0.7500  0.9417  8 Se 3.45-3.75
Rb  0.2540  0.2500  0.0583  8 Se 3.45-3.75
Tm  0.7671  0.7500  0.4504  6 Se 2.86-2.94
Tm  0.2329  0.2500  0.5496  6 Se 2.86-2.94
Mn  0.2229  0.7500  0.3303  4 Se 2.29-2.33
Mn  0.7771  0.2500  0.6697  4 Se 2.29-2.33
Se  0.0236  0.5088  0.7021  1 Mn 2.33
Se  0.9764  0.0088  0.2979  1 Mn 2.33
Se  0.9764  0.4912  0.2979  1 Mn 2.33
Se  0.0236  0.9912  0.7021  1 Mn 2.33
Se  0.4255  0.7500  0.1748  1 Mn 2.31
Se  0.5745  0.2500  0.8252  1 Mn 2.31
Se  0.4267  0.7500  0.5754  1 Mn 2.29
Se  0.5733  0.2500  0.4246  1 Mn 2.29

Its size of the total moment is 6.0 Bohr magnetons per cell. The value obtained for the total energy is -35.948 eV per formula unit.

[2]
Material: Rb2TmMn2Se4
Method: DFT, PBE
State: relaxed

a = 4.1958 Å, b = 8.1764 Å, c = 8.0120 Å
α = 108.32°, β = 105.18°, γ = 90.00°
Closest atoms and distances in Å follow each position.
Element x y z (fractional)
Rb  0.1316  0.5543  0.2633  7 Se 3.55-3.60, 1 Rb 3.87, 3 Mn 3.95
Rb  0.8684  0.4457  0.7367  7 Se 3.55-3.60, 1 Rb 3.87, 3 Mn 3.95
Tm  0.0000  0.0000  0.0000  6 Se 2.87-2.90
Mn  0.6795  0.9838  0.3590  4 Se 2.52-2.62
Mn  0.3205  0.0162  0.6410  4 Se 2.52-2.62
Se  0.1965  0.1710  0.3931  3 Mn 2.56-2.62
Se  0.8035  0.8290  0.6069  3 Mn 2.56-2.62
Se  0.5191  0.7738  0.0383  1 Mn 2.52
Se  0.4809  0.2262  0.9617  1 Mn 2.52

Its size of the total moment is 9.0 Bohr magnetons per cell. The value obtained for the total energy is -48.394 eV per formula unit.